No. 1
! UTi2ReC4, relaxed, DFT PBE; values from VASP
! **Density**: 9.64 Mg/m³
! **Symmetry**: Cmcm, No. 63
! **DFT formation energy**: -4.89 kcal/mol of atoms
&SYSTEM
  ibrav = 0, nat = 16, ntyp = 4
/
ATOMIC_SPECIES
C 12.01 C.upf
Ti 47.87 Ti.upf
Re 186.21 Re.upf
U 238.03 U.upf
ATOMIC_POSITIONS crystal
C 0.7351 0.4702 0.6151
C 0.4573 0.9146 0.7500
Ti 0.6271 0.2543 0.0368
Re 0.1511 0.3022 0.2500
U 0.8871 0.7742 0.2500
C 0.5427 0.0854 0.2500
Ti 0.6271 0.2543 0.4632
C 0.7351 0.4702 0.8849
Ti 0.3729 0.7457 0.9632
Ti 0.3729 0.7457 0.5368
C 0.2649 0.5298 0.1151
Re 0.8489 0.6978 0.7500
C 0.0000 0.0000 0.5000
C 0.2649 0.5298 0.3849
C 0.0000 0.0000 0.0000
U 0.1129 0.2258 0.7500
CELL_PARAMETERS angstrom
-1.2719 -0.3148 -2.9038
-0.6802 -5.2367 2.6133
-9.6076 3.1761 3.8640

=====

No. 2
! Sm2YCd2, relaxed, DFT PBE; values from VASP
! **Energy relative to the lowest polymorph listed for this composition**: 79 meV per atom
! **Density**: 6.99 Mg/m³
! **Symmetry**: Immm, No. 71
! **DFT formation energy**: -4.27 kcal/mol of atoms
&SYSTEM
  ibrav = 0, nat = 5, ntyp = 3
/
ATOMIC_SPECIES
Sm 150.36 Sm.upf
Cd 112.41 Cd.upf
Y 88.91 Y.upf
ATOMIC_POSITIONS crystal
Sm 0.8038 0.6962 0.6962
Cd 0.5000 0.2900 0.7100
Y 0.0000 0.0000 0.0000
Cd 0.5000 0.7100 0.2900
Sm 0.1962 0.3038 0.3038
CELL_PARAMETERS angstrom
-1.9664 -2.7214 -3.7570
3.6111 -0.7852 -4.7000
1.7220 -5.7240 -0.1338

=====

No. 3
! LiYCl2, relaxed, DFT PBE; values from VASP
! **Energy relative to the lowest polymorph listed for this composition**: 101 meV per atom
! **Formation energy from raw total energies**: -1.404 eV per atom
! **Density**: 3.15 Mg/m³
! **Symmetry**: P4mm, No. 99
&SYSTEM
  ibrav = 0, nat = 4, ntyp = 3
/
ATOMIC_SPECIES
Cl 35.45 Cl.upf
Li 6.94 Li.upf
Y 88.91 Y.upf
ATOMIC_POSITIONS crystal
Cl 0.0000 0.0000 0.9988
Li 0.0000 0.0000 0.3557
Y 0.5000 0.5000 0.7586
Cl 0.5000 0.5000 0.3869
CELL_PARAMETERS angstrom
-0.9891 -0.0899 -3.3354
1.0549 -3.3088 -0.2237
-6.6120 -2.2447 2.0212

=====

No. 4
! Cs2ErTcO6, relaxed, DFT PBE; values from VASP
! **Formation energy from raw total energies**: -1.900 eV per atom
! **Density**: 4.75 Mg/m³
! **Symmetry**: P-3m1, No. 164
&SYSTEM
  ibrav = 0, nat = 10, ntyp = 4
/
ATOMIC_SPECIES
O 16.00 O.upf
Cs 132.91 Cs.upf
Tc 98.00 Tc.upf
Er 167.26 Er.upf
ATOMIC_POSITIONS crystal
O 0.2066 0.8690 0.7380
Cs 0.1502 0.3333 0.6667
O 0.7934 0.7380 0.8690
Tc 0.0000 0.0000 0.0000
O 0.2066 0.2620 0.1310
Er 0.5000 0.0000 0.0000
O 0.2066 0.8690 0.1310
O 0.7934 0.1310 0.8690
Cs 0.8498 0.6667 0.3333
O 0.7934 0.1310 0.2620
CELL_PARAMETERS angstrom
5.6989 0.0000 0.0000
0.0000 6.6651 0.0000
0.0000 -3.3325 5.7721

=====

No. 5
! BiPSe2Br, relaxed, DFT PBE; values from VASP
! **Energy relative to the lowest polymorph listed for this composition**: 581 meV per atom
! **Formation energy from raw total energies**: 0.782 eV per atom
! **Density**: 4.48 Mg/m³
! **Symmetry**: P4/mmm, No. 123
&SYSTEM
  ibrav = 0, nat = 5, ntyp = 4
/
ATOMIC_SPECIES
Bi 208.98 Bi.upf
Br 79.90 Br.upf
Se 78.96 Se.upf
P 30.97 P.upf
ATOMIC_POSITIONS crystal
Bi 0.0000 0.0000 0.0000
Br 0.0000 0.0000 0.5000
Se 0.0000 0.5000 0.0000
P 0.5000 0.5000 0.5000
Se 0.5000 0.0000 0.0000
CELL_PARAMETERS angstrom
5.6137 0.0000 0.0000
0.0000 5.6137 0.0000
0.0000 0.0000 5.6244

=====

No. 6
! USbIr2, relaxed, DFT PBE; values from VASP
! **Formation energy from raw total energies**: -0.265 eV per atom
! **Density**: 15.80 Mg/m³
! **Symmetry**: R-3m, No. 166
&SYSTEM
  ibrav = 0, nat = 4, ntyp = 3
/
ATOMIC_SPECIES
U 238.03 U.upf
Ir 192.22 Ir.upf
Sb 121.76 Sb.upf
ATOMIC_POSITIONS crystal
U 0.0000 0.0000 0.0000
Ir 0.2248 0.2248 0.3255
Sb 0.5000 0.5000 0.5000
Ir 0.7752 0.7752 0.6745
CELL_PARAMETERS angstrom
-1.6749 3.4155 -2.4237
-4.3780 1.0437 0.2990
-1.1233 4.2850 2.6176

=====

No. 7
! Cs2ZnSe2O6, relaxed, DFT PBE; values from VASP
! **Formation energy from raw total energies**: -1.232 eV per atom
! **Density**: 3.83 Mg/m³
! **Symmetry**: C2/m, No. 12
&SYSTEM
  ibrav = 0, nat = 11, ntyp = 4
/
ATOMIC_SPECIES
O 16.00 O.upf
Cs 132.91 Cs.upf
Se 78.96 Se.upf
Zn 65.41 Zn.upf
ATOMIC_POSITIONS crystal
O 0.8191 0.1432 0.7270
O 0.1206 0.2412 0.3527
Cs 0.7064 0.4127 0.2134
O 0.1809 0.8568 0.2730
Se 0.9775 0.9550 0.2049
O 0.3241 0.1432 0.7270
O 0.8794 0.7588 0.6473
Zn 0.5000 0.0000 0.5000
Se 0.0225 0.0450 0.7951
O 0.6759 0.8568 0.2730
Cs 0.2936 0.5873 0.7866
CELL_PARAMETERS angstrom
-2.1004 4.9469 0.8822
-1.4979 -4.6541 5.7201
7.1557 3.1662 -0.7179

=====

No. 8
! CaScGa2Au2, relaxed, DFT PBE; values from VASP
! **Density**: 8.32 Mg/m³
! **Symmetry**: P-3m1, No. 164
! **DFT formation energy**: -17.01 kcal/mol of atoms
&SYSTEM
  ibrav = 0, nat = 6, ntyp = 4
/
ATOMIC_SPECIES
Ga 69.72 Ga.upf
Au 196.97 Au.upf
Ca 40.08 Ca.upf
Sc 44.96 Sc.upf
ATOMIC_POSITIONS crystal
Ga 0.3333 0.6667 0.2884
Au 0.6667 0.3333 0.2915
Au 0.3333 0.6667 0.7085
Ca 0.0000 0.0000 0.0000
Sc 0.0000 0.0000 0.5000
Ga 0.6667 0.3333 0.7116
CELL_PARAMETERS angstrom
4.5139 0.0000 0.0000
-2.2570 3.9092 0.0000
0.0000 0.0000 6.9905

=====

Number 1: total moment 2.2 Bohr magnetons per cell. Number 2: total moment 0.0 Bohr magnetons per cell. Number 3: total moment 0.5 Bohr magnetons per cell. Number 4: total moment 0.0 Bohr magnetons per cell. Number 5: total moment 1.1 Bohr magnetons per cell. Number 6: total moment 1.3 Bohr magnetons per cell. Number 7: total moment 0.0 Bohr magnetons per cell. Number 8: total moment 0.0 Bohr magnetons per cell.